Record 1
First-principles (meta-GGA SCAN) data for a crystal of FeSiOs2 relaxed with PBEsol, as listed in the Alexandria database.

Unit cell a=2.8039 b=4.1366 c=4.4863 alpha=90.00 beta=90.00 gamma=90.00
Each line ends with the local moment (μB).
Element x y z (fractional)
Fe: 0.0000 0.5000 0.5000  2.45
Os: 0.0000 0.0000 0.0000  0.02
Os: 0.5000 0.0000 0.5000  0.51
Si: 0.5000 0.5000 0.0000  -0.01

Summary:
uncorrected formation energy	0.1257	eV per atom
density of states at the Fermi level	2.68	states/eV/f.u.
density	14.8	g/cm3
E_tot	-1.5747	hartree per atom

***

Record 2
First-principles (meta-GGA SCAN) data for a crystal of ZrTlPt2 relaxed with PBEsol, as listed in the Alexandria database.

Unit cell a=4.1497 b=4.1497 c=5.0728 alpha=114.14 beta=114.14 gamma=90.00
Element x y z (fractional)
Pt: 0.0000 0.0000 0.0000
Pt: 0.7500 0.2500 0.5000
Tl: 0.5000 0.5000 0.0000
Zr: 0.2500 0.7500 0.5000

Summary:
calculated formation energy	-0.5853	eV/atom
density of states at the Fermi level	2.31	states/eV/f.u.
density	16.0	g/cm3
E_tot	-2.2581	hartree per atom

***

Record 3
First-principles (meta-GGA SCAN) data for a crystal of YAsOs2 relaxed with PBEsol, as listed in the Alexandria database.

Unit cell a=3.0098 b=4.7258 c=5.4179 alpha=115.86 beta=106.13 gamma=90.00
Element x y z (fractional)
Y: 0.5000 0.0000 0.0000
As: 0.0000 0.5000 0.0000
Os: 0.7199 0.7199 0.4398
Os: 0.2801 0.2801 0.5602

Summary:
calculated formation energy	0.1000	eV/atom
density of states at the Fermi level	2.83	states/eV/f.u.
density	13.7	g/cm3
E_tot	-1.7584	hartree per atom

***

Record 4
First-principles (meta-GGA SCAN) data for a crystal of ZnRe2PbW relaxed with PBEsol, as listed in the Alexandria database.

Unit cell a=4.5274 b=4.9065 c=4.9065 alpha=90.00 beta=90.00 gamma=90.00
Each line ends with the local moment (μB).
Element x y z (fractional)
Pb: 0.0000 0.0000 0.0000  -0.01
Re: 0.0000 0.0000 0.5000  -1.36
Re: 0.0000 0.5000 0.0000  -1.36
Zn: 0.5000 0.0000 0.0000  -0.02
W: 0.5000 0.5000 0.5000  2.24

Summary:
calculated formation energy	3.1560	eV/atom
density of states at the Fermi level	2.95	states/eV/f.u.
density	12.6	g/cm3
E_tot	-2.0976	hartree per atom

***

Record 5
First-principles (meta-GGA SCAN) data for a crystal of KHg2Pd2 relaxed with PBEsol, as listed in the Alexandria database.

Unit cell a=4.2275 b=4.2275 c=6.9184 alpha=107.79 beta=107.79 gamma=90.00
Element x y z (fractional)
K: 0.0000 0.0000 0.0000
Hg: 0.3870 0.3870 0.7740
Hg: 0.6130 0.6130 0.2260
Pd: 0.2500 0.7500 0.5000
Pd: 0.7500 0.2500 0.5000

Summary:
excess energy over the best structure of this formula in the dataset	6	meV per atom
calculated formation energy	-0.1923	eV/atom
density of states at the Fermi level	1.24	states/eV/f.u.
density	9.7	g/cm3
E_tot	-1.5521	hartree per atom

***

Record 6
First-principles (meta-GGA SCAN) data for a crystal of K2HRu relaxed with PBEsol, as listed in the Alexandria database.

Unit cell a=3.4301 b=8.0890 c=8.0890 alpha=87.42 beta=77.76 gamma=77.76
Each line ends with the local moment (μB).
Element x y z (fractional)
Ru: 0.0000 0.0000 0.0000  1.27
Ru: 0.7500 0.5000 0.5000  1.27
K: 0.8750 0.8031 0.6969  0.00
K: 0.3750 0.1969 0.3031  0.00
K: 0.4281 0.6969 0.1969  0.00
K: 0.3219 0.3031 0.8031  0.00
H: 0.5000 0.0000 0.0000  -0.01
H: 0.2500 0.5000 0.5000  -0.01

Summary:
density of states at the Fermi level	1.50	states/eV/f.u.
density	2.8	g/cm3
E_tot	-0.4831	hartree per atom

***

Record 7
First-principles (meta-GGA SCAN) data for a crystal of Rb2CoI relaxed with PBEsol, as listed in the Alexandria database.

Unit cell a=6.0393 b=6.0393 c=6.0393 alpha=60.00 beta=60.00 gamma=60.00
Each line ends with the local moment (μB).
Element x y z (fractional)
I: 0.5000 0.5000 0.5000  0.00
Co: 0.0000 0.0000 0.0000  1.96
Rb: 0.2500 0.2500 0.2500  -0.01
Rb: 0.7500 0.7500 0.7500  -0.01

Summary:
uncorrected formation energy	-0.2339	eV per atom
density	3.8	g/cm3
E_tot	-0.8862	hartree per atom

***

Record 8
First-principles (meta-GGA SCAN) data for a crystal of InAuBr2 relaxed with PBEsol, as listed in the Alexandria database.

Unit cell a=4.0775 b=4.0775 c=6.6889 alpha=107.75 beta=107.75 gamma=90.00
Element x y z (fractional)
Au: 0.2500 0.7500 0.5000
Br: 0.0000 0.0000 0.0000
Br: 0.7500 0.2500 0.5000
In: 0.5000 0.5000 0.0000

Summary:
excess energy over the best structure of this formula in the dataset	44	meV per atom
uncorrected formation energy	-0.0557	eV per atom
density of states at the Fermi level	1.50	states/eV/f.u.
density	7.8	g/cm3
E_tot	-1.3017	hartree per atom